(1)
HfAl5Pd | GGA-PBE | optimized geometry

Structure (extended XYZ):
```
7
Lattice="-1.785 3.036 2.349 -3.336 -2.509 0.707 3.028 -2.476 5.500" Properties=species:S:1:pos:R:3 pbc="T T T"
Pd 1.514 -1.238 2.750
Hf 0.000 0.000 0.000
Al -0.018 0.803 2.764
Al 0.485 -3.015 4.265
Al -2.561 0.264 1.528
Al 1.261 -0.242 5.086
Al -0.793 -1.970 1.943
```

As for the space-group type: P4/mmm (123). The total magnetization is 0.00 Bohr magnetons per cell. Its energy of formation from the pure elements is -3.2 eV per formula unit. The volume comes out at 17.28 Å³ per atom. Its density of states at the Fermi level is 3.1 states/eV per cell.

=====

(2)
Hf2Al2Pd5 | GGA-PBE | optimized geometry

Structure (extended XYZ):
```
18
Lattice="7.214 0.000 0.000 0.000 6.479 0.000 -3.607 -3.240 6.783" Properties=species:S:1:pos:R:3 pbc="T T T"
Pd -1.407 -1.047 3.391
Hf -0.185 3.567 1.663
Al 3.474 4.349 3.391
Pd 5.809 1.646 0.340
Pd 5.012 4.885 0.341
Pd 2.226 2.513 4.680
Pd 2.226 2.513 2.102
Al 0.133 1.110 3.391
Al 0.000 6.100 0.000
Pd 5.014 2.192 3.391
Pd -1.405 1.646 6.442
Hf 3.792 0.328 1.663
Al 3.607 2.860 0.000
Hf 3.792 0.328 5.120
Hf -0.185 3.567 5.120
Pd 1.381 -0.726 4.680
Pd -2.202 -1.594 6.442
Pd 1.381 -0.726 2.102
```

As for the space-group type: Ima2 (46). The total magnetization is 0.00 Bohr magnetons per cell. Its energy of formation from the pure elements is -5.0 eV per formula unit. The volume comes out at 17.61 Å³ per atom. Its density of states at the Fermi level is 7.9 states/eV per cell.

=====

(3)
HfAl3Pd | GGA-PBE | optimized geometry

Structure (extended XYZ):
```
5
Lattice="-1.862 4.235 0.584 -2.426 -0.522 -3.948 -3.520 -1.880 2.412" Properties=species:S:1:pos:R:3 pbc="T T T"
Al -1.213 -0.261 -1.974
Hf -3.904 0.916 -0.476
Pd 0.000 0.000 0.000
Al -1.760 -0.940 1.206
Al -0.931 2.118 0.292
```

As for the space-group type: Pm-3m (221). The total magnetization is 0.00 Bohr magnetons per cell. Its energy of formation from the pure elements is 0.6 eV per formula unit. The volume comes out at 20.28 Å³ per atom. The energy above the most stable polymorph in this dataset is 0.5460 eV/atom. Its density of states at the Fermi level is 3.2 states/eV per cell.

=====

(4)
HfAlPd6 | GGA-PBE | optimized geometry

Structure (extended XYZ):
```
8
Lattice="-4.156 3.192 -0.482 -2.727 -3.968 -2.125 -1.575 -1.420 4.816" Properties=species:S:1:pos:R:3 pbc="T T T"
Pd -6.380 -1.276 0.009
Pd -3.049 0.816 0.207
Al -4.229 -1.098 1.105
Pd -2.078 -0.920 2.201
Hf 0.000 0.000 0.000
Pd -5.408 -3.011 2.003
Pd -5.946 -0.317 2.621
Pd -2.511 -1.879 -0.412
```

As for the space-group type: R-3m (166). The total magnetization is 0.00 Bohr magnetons per cell. Its energy of formation from the pure elements is -1.7 eV per formula unit. The volume comes out at 18.21 Å³ per atom. The energy above the most stable polymorph in this dataset is 0.5436 eV/atom. Its density of states at the Fermi level is 3.9 states/eV per cell.

=====

Please write out number 2 again, unchanged.
Hf2Al2Pd5 | GGA-PBE | optimized geometry

Structure (extended XYZ):
```
18
Lattice="7.214 0.000 0.000 0.000 6.479 0.000 -3.607 -3.240 6.783" Properties=species:S:1:pos:R:3 pbc="T T T"
Pd -1.407 -1.047 3.391
Hf -0.185 3.567 1.663
Al 3.474 4.349 3.391
Pd 5.809 1.646 0.340
Pd 5.012 4.885 0.341
Pd 2.226 2.513 4.680
Pd 2.226 2.513 2.102
Al 0.133 1.110 3.391
Al 0.000 6.100 0.000
Pd 5.014 2.192 3.391
Pd -1.405 1.646 6.442
Hf 3.792 0.328 1.663
Al 3.607 2.860 0.000
Hf 3.792 0.328 5.120
Hf -0.185 3.567 5.120
Pd 1.381 -0.726 4.680
Pd -2.202 -1.594 6.442
Pd 1.381 -0.726 2.102
```

As for the space-group type: Ima2 (46). The total magnetization is 0.00 Bohr magnetons per cell. Its energy of formation from the pure elements is -5.0 eV per formula unit. The volume comes out at 17.61 Å³ per atom. Its density of states at the Fermi level is 7.9 states/eV per cell.

=====

- Number 3 is which compound?
  HfAl3Pd

=====

- Which of these has the lowest volume?
  HfAl5Pd